## AcPrSc2 (GGA-PBE)

Data for a relaxed structure of AcPrSc2.

The polymorph energy (0 for the lowest one) is 80.0 meV per atom. The space group is R3m (160). The total magnetization is 0.00 μB per formula unit. Its calculated formation energy is 63 kJ/mol of formula units.

Cell: 11.524 11.524 11.524 Å, 18.00 18.00 18.00°
Fractional coordinates of all 4 atoms:
Ac 0.000 0.000 0.000
Pr 0.833 0.833 0.833
Sc 0.247 0.247 0.247
Sc 0.420 0.420 0.420


## AcPrSc2 (GGA-PBE)

Data for a relaxed structure of AcPrSc2.

The polymorph energy (0 for the lowest one) is 0.3 meV per atom. The space group is P4/mmm (123). The total magnetization is 0.00 μB per formula unit. Its calculated formation energy is 32 kJ/mol of formula units.

Cell: 4.036 4.036 7.815 Å, 90.00 90.00 90.00°
Fractional coordinates of all 4 atoms:
Ac 0.000 0.000 0.000
Pr 0.000 0.000 0.500
Sc 0.500 0.500 0.265
Sc 0.500 0.500 0.735


## AcPr2Sc (GGA-PBE)

Data for a relaxed structure of AcPr2Sc.

The polymorph energy (0 for the lowest one) is 130.0 meV per atom. The space group is Fm-3m (225). The total magnetization is 0.77 μB per formula unit. Its calculated formation energy is 74 kJ/mol of formula units.

Cell: 5.851 5.851 5.851 Å, 60.00 60.00 60.00°
Fractional coordinates of all 4 atoms:
Ac 0.000 0.000 0.000
Pr 0.250 0.250 0.250
Pr 0.750 0.750 0.750
Sc 0.500 0.500 0.500


## AcPr2Sc (GGA-PBE)

Data for a relaxed structure of AcPr2Sc.

The polymorph energy (0 for the lowest one) is 226.0 meV per atom. The space group is R-3m (166). The total magnetization is 0.00 μB per formula unit. Its calculated formation energy is 111 kJ/mol of formula units.

Cell: 12.762 12.762 12.762 Å, 16.29 16.29 16.29°
Fractional coordinates of all 4 atoms:
Ac 0.000 0.000 0.000
Pr 0.416 0.416 0.416
Pr 0.584 0.584 0.584
Sc 0.500 0.500 0.500


## Ac2PrScSe4 (GGA-PBE)

Data for a relaxed structure of Ac2PrScSe4.

The uncorrected formation energy is -1.746 eV per atom. The space group is P2/m (10). The total magnetization is 0.00 μB per formula unit.

Cell: 7.359 4.193 7.565 Å, 90.00 108.43 90.00°
Fractional coordinates of all 8 atoms:
Ac 0.000 0.000 0.000
Ac 0.500 0.500 0.000
Pr 0.000 0.500 0.500
Sc 0.500 0.000 0.500
Se 0.257 0.000 0.726
Se 0.276 0.500 0.284
Se 0.724 0.500 0.716
Se 0.743 0.000 0.274


## AcPrSmSc (GGA-PBE)

Data for a relaxed structure of AcPrSmSc.

The space group is F-43m (216). The total magnetization is 1.48 μB per formula unit. Its calculated formation energy is 77 kJ/mol of formula units.

Cell: 5.821 5.821 5.821 Å, 60.00 60.00 60.00°
Fractional coordinates of all 4 atoms:
Ac 0.000 0.000 0.000
Pr 0.250 0.250 0.250
Sm 0.750 0.750 0.750
Sc 0.500 0.500 0.500


## AcPrScSn (GGA-PBE)

Data for a relaxed structure of AcPrScSn.

The space group is F-43m (216). The total magnetization is 0.00 μB per formula unit. Its calculated formation energy is -62 kJ/mol of formula units.

Cell: 5.520 5.520 5.520 Å, 60.00 60.00 60.00°
Fractional coordinates of all 4 atoms:
Ac 0.000 0.000 0.000
Pr 0.750 0.750 0.750
Sc 0.250 0.250 0.250
Sn 0.500 0.500 0.500


## AcPrScTe3 (GGA-PBE)

Data for a relaxed structure of AcPrScTe3.

The uncorrected formation energy is -1.290 eV per atom. The space group is P2_1/m (11). The total magnetization is 0.64 μB per formula unit.

Cell: 9.367 4.455 10.097 Å, 90.00 105.87 90.00°
Fractional coordinates of all 12 atoms:
Ac 0.182 0.250 0.230
Ac 0.818 0.750 0.770
Pr 0.342 0.750 0.853
Pr 0.658 0.250 0.147
Sc 0.093 0.250 0.597
Sc 0.907 0.750 0.403
Te 0.099 0.250 0.882
Te 0.238 0.750 0.503
Te 0.430 0.750 0.186
Te 0.570 0.250 0.814
Te 0.762 0.250 0.497
Te 0.901 0.750 0.118


## AcPr2ScTe4 (GGA-PBE)

Data for a relaxed structure of AcPr2ScTe4.

The uncorrected formation energy is -1.319 eV per atom. The space group is P2/m (10). The total magnetization is 0.00 μB per formula unit.

Cell: 7.833 4.445 7.875 Å, 90.00 108.68 90.00°
Fractional coordinates of all 8 atoms:
Ac 0.000 0.000 0.000
Pr 0.500 0.000 0.500
Pr 0.500 0.500 0.000
Sc 0.000 0.500 0.500
Te 0.234 0.000 0.727
Te 0.248 0.500 0.268
Te 0.752 0.500 0.732
Te 0.766 0.000 0.273


## Ac2PrScTe6 (GGA-PBE)

Data for a relaxed structure of Ac2PrScTe6.

The uncorrected formation energy is -1.457 eV per atom. The space group is P2_1/c (14). The total magnetization is 0.00 μB per formula unit.

Cell: 7.546 8.477 13.415 Å, 90.00 122.76 90.00°
Fractional coordinates of all 20 atoms:
Ac 0.196 0.113 0.244
Ac 0.196 0.387 0.744
Ac 0.804 0.613 0.256
Ac 0.804 0.887 0.756
Pr 0.500 0.000 0.000
Pr 0.500 0.500 0.500
Sc 0.000 0.000 0.500
Sc 0.000 0.500 0.000
Te 0.092 0.190 0.936
Te 0.092 0.310 0.436
Te 0.260 0.672 0.936
Te 0.260 0.828 0.436
Te 0.376 0.034 0.737
Te 0.376 0.466 0.237
Te 0.624 0.534 0.763
Te 0.624 0.966 0.263
Te 0.740 0.172 0.564
Te 0.740 0.328 0.064
Te 0.908 0.690 0.564
Te 0.908 0.810 0.064


## AcPrThSc (GGA-PBE)

Data for a relaxed structure of AcPrThSc.

The space group is F-43m (216). The total magnetization is 0.00 μB per formula unit. Its calculated formation energy is 102 kJ/mol of formula units.

Cell: 5.787 5.787 5.787 Å, 60.00 60.00 60.00°
Fractional coordinates of all 4 atoms:
Ac 0.000 0.000 0.000
Pr 0.750 0.750 0.750
Th 0.250 0.250 0.250
Sc 0.500 0.500 0.500


## AcPrScTl (GGA-PBE)

Data for a relaxed structure of AcPrScTl.

The space group is F-43m (216). The total magnetization is 0.01 μB per formula unit. Its calculated formation energy is 18 kJ/mol of formula units.

Cell: 5.577 5.577 5.577 Å, 60.00 60.00 60.00°
Fractional coordinates of all 4 atoms:
Ac 0.000 0.000 0.000
Pr 0.250 0.250 0.250
Sc 0.750 0.750 0.750
Tl 0.500 0.500 0.500


## AcPrTmSc (GGA-PBE)

Data for a relaxed structure of AcPrTmSc.

The space group is F-43m (216). The total magnetization is 0.00 μB per formula unit. Its calculated formation energy is 39 kJ/mol of formula units.

Cell: 5.747 5.747 5.747 Å, 60.00 60.00 60.00°
Fractional coordinates of all 4 atoms:
Ac 0.000 0.000 0.000
Pr 0.500 0.500 0.500
Tm 0.250 0.250 0.250
Sc 0.750 0.750 0.750


## Ac3PrSe4 (GGA-PBE)

Data for a relaxed structure of Ac3PrSe4.

The uncorrected formation energy is -1.858 eV per atom. The polymorph energy (0 for the lowest one) is 0.0 meV per atom. The space group is P2/c (13). The total magnetization is 0.00 μB per formula unit.

Cell: 7.681 8.764 7.674 Å, 90.00 109.26 90.00°
Fractional coordinates of all 16 atoms:
Ac 0.000 0.124 0.250
Ac 0.000 0.373 0.750
Ac 0.000 0.627 0.250
Ac 0.000 0.876 0.750
Ac 0.500 0.373 0.250
Ac 0.500 0.627 0.750
Pr 0.500 0.124 0.750
Pr 0.500 0.876 0.250
Se 0.254 0.371 0.504
Se 0.254 0.629 0.004
Se 0.258 0.121 0.000
Se 0.258 0.879 0.500
Se 0.742 0.121 0.500
Se 0.742 0.879 0.000
Se 0.746 0.371 0.996
Se 0.746 0.629 0.496


## AcPrSe2 (GGA-PBE)

Data for a relaxed structure of AcPrSe2.

The uncorrected formation energy is -1.839 eV per atom. The polymorph energy (0 for the lowest one) is 1.5 meV per atom. The space group is P6_3/mmc (194). The total magnetization is 0.00 μB per formula unit.

Cell: 4.312 4.312 14.686 Å, 90.00 90.00 120.00°
Fractional coordinates of all 8 atoms:
Ac 0.333 0.667 0.250
Ac 0.667 0.333 0.750
Pr 0.000 0.000 0.000
Pr 0.000 0.000 0.500
Se 0.333 0.667 0.618
Se 0.333 0.667 0.882
Se 0.667 0.333 0.118
Se 0.667 0.333 0.382


## AcPr2Se (GGA-PBE)

Data for a relaxed structure of AcPr2Se.

The uncorrected formation energy is -0.828 eV per atom. The polymorph energy (0 for the lowest one) is 0.0 meV per atom. The space group is R3m (160). The total magnetization is 0.00 μB per formula unit.

Cell: 10.207 10.207 10.207 Å, 22.88 22.88 22.88°
Fractional coordinates of all 4 atoms:
Ac 0.000 0.000 0.000
Pr 0.228 0.228 0.228
Pr 0.438 0.438 0.438
Se 0.833 0.833 0.833


## AcPrSe2 (GGA-PBE)

Data for a relaxed structure of AcPrSe2.

The uncorrected formation energy is -1.801 eV per atom. The polymorph energy (0 for the lowest one) is 39.1 meV per atom. The space group is R3m (160). The total magnetization is 0.00 μB per formula unit.

Cell: 7.993 7.993 7.993 Å, 30.90 30.90 30.90°
Fractional coordinates of all 4 atoms:
Ac 0.000 0.000 0.000
Pr 0.823 0.823 0.823
Se 0.415 0.415 0.415
Se 0.575 0.575 0.575


## AcPrSe2 (GGA-PBE)

Data for a relaxed structure of AcPrSe2.

The uncorrected formation energy is -1.459 eV per atom. The polymorph energy (0 for the lowest one) is 382.0 meV per atom. The space group is R-3m (166). The total magnetization is 0.00 μB per formula unit.

Cell: 9.646 9.646 9.646 Å, 26.09 26.09 26.09°
Fractional coordinates of all 4 atoms:
Ac 0.000 0.000 0.000
Pr 0.500 0.500 0.500
Se 0.109 0.109 0.109
Se 0.891 0.891 0.891


## AcPr6Se8 (GGA-PBE)

Data for a relaxed structure of AcPr6Se8.

The uncorrected formation energy is -1.864 eV per atom. The space group is Fm-3m (225). The total magnetization is 0.00 μB per formula unit.

Cell: 8.543 8.543 8.543 Å, 60.00 60.00 60.00°
Fractional coordinates of all 15 atoms:
Ac 0.000 0.000 0.000
Pr 0.000 0.000 0.500
Pr 0.000 0.500 0.000
Pr 0.000 0.500 0.500
Pr 0.500 0.000 0.000
Pr 0.500 0.000 0.500
Pr 0.500 0.500 0.000
Se 0.250 0.250 0.250
Se 0.259 0.259 0.741
Se 0.259 0.741 0.259
Se 0.259 0.741 0.741
Se 0.741 0.259 0.259
Se 0.741 0.259 0.741
Se 0.741 0.741 0.259
Se 0.750 0.750 0.750


## Ac4Pr3Se8 (GGA-PBE)

Data for a relaxed structure of Ac4Pr3Se8.

The uncorrected formation energy is -1.873 eV per atom. The space group is C2/m (12). The total magnetization is 0.00 μB per formula unit.

Cell: 8.741 8.741 8.682 Å, 119.75 119.75 90.04°
Fractional coordinates of all 15 atoms:
Ac 0.000 0.000 0.000
Ac 0.000 0.500 0.000
Ac 0.500 0.000 0.000
Ac 0.500 0.500 0.500
Pr 0.000 0.000 0.500
Pr 0.000 0.500 0.500
Pr 0.500 0.000 0.500
Se 0.246 0.754 0.500
Se 0.250 0.250 0.508
Se 0.250 0.250 0.992
Se 0.254 0.746 0.000
Se 0.746 0.254 0.000
Se 0.750 0.750 0.008
Se 0.750 0.750 0.492
Se 0.754 0.246 0.500